# 1
LiBeCu2: relaxed, PBE.

abc: 4.7787 4.7787 4.7787
angles: 147.24 131.10 60.11
Last column: nearest neighbours and their distance in Å.
Atoms (fractional coordinates):
Li (0.0000, 0.0000, 0.0000)  6 Cu 2.40-2.59, 2 Be 2.51
Be (0.2555, 0.7555, 0.5000)  6 Cu 2.25-2.40, 2 Li 2.51
Cu (0.4726, 0.4726, 0.0000)  2 Be 2.25, 4 Li 2.40
Cu (0.7322, 0.2322, 0.5000)  4 Be 2.40, 2 Cu 2.54, 2 Li 2.59

The calculation puts the energy at -3.46 eV per atom.


# 2
LiBe2Cu: relaxed, PBE.

abc: 4.5049 4.5049 2.3806
angles: 100.25 100.25 117.19
Last column: nearest neighbours and their distance in Å.
Atoms (fractional coordinates):
Li (0.0000, 0.0000, 0.0000)  2 Cu 2.35, 4 Be 2.35, 2 Li 2.38
Be (0.0000, 0.5000, 0.5000)  4 Be 2.35-2.38, 2 Cu 2.35, 2 Li 2.35
Be (0.5000, 0.0000, 0.5000)  4 Be 2.35-2.38, 2 Cu 2.35, 2 Li 2.35
Cu (0.5000, 0.5000, 0.0000)  2 Li 2.35, 4 Be 2.35, 2 Cu 2.38

The calculation puts the energy at -3.27 eV per atom.


# 3
LiBeCu2: relaxed, PBE.

abc: 4.7133 4.7133 4.7133
angles: 146.69 127.22 63.86
Last column: nearest neighbours and their distance in Å.
Atoms (fractional coordinates):
Li (0.0000, 0.0000, 0.0000)  4 Be 2.49, 8 Cu 2.59-2.75, 2 Li 2.70
Be (0.5000, 0.5000, 0.0000)  4 Cu 2.24, 4 Li 2.49
Cu (0.2768, 0.7768, 0.5000)  2 Be 2.24
Cu (0.7232, 0.2232, 0.5000)  2 Be 2.24

The calculation puts the energy at -3.44 eV per atom.


# 4
LiBe2Cu: relaxed, PBE.

abc: 2.3736 3.8069 4.5706
angles: 90.00 100.76 90.00
Last column: nearest neighbours and their distance in Å.
Atoms (fractional coordinates):
Li (0.0000, 0.0000, 0.0000)  4 Be 2.34-2.40, 2 Li 2.37, 2 Cu 2.40
Be (0.5164, 0.0000, 0.4888)  4 Be 2.29-2.37, 2 Li 2.34-2.40, 2 Cu 2.34
Be (0.7700, 0.5000, 0.2655)  2 Cu 2.24-2.50, 4 Be 2.29-2.37, 2 Li 2.37
Cu (0.2626, 0.5000, 0.7339)  4 Be 2.24-2.50, 2 Cu 2.37, 2 Li 2.40

The calculation puts the energy at -3.28 eV per atom.


# 5
Li2BeCu: relaxed, PBE.

abc: 2.5331 4.3175 4.3502
angles: 90.00 97.64 90.00
Last column: nearest neighbours and their distance in Å.
Atoms (fractional coordinates):
Li (0.2444, 0.0000, 0.2489)  4 Li 2.35-2.53, 2 Cu 2.53, 2 Be 2.54
Li (0.7556, 0.0000, 0.7511)  4 Li 2.35-2.53, 2 Cu 2.53, 2 Be 2.54
Be (0.5000, 0.5000, 0.0000)  2 Cu 2.37, 2 Be 2.53, 4 Li 2.54
Cu (0.0000, 0.5000, 0.5000)  2 Be 2.37, 4 Li 2.53, 2 Cu 2.53

The calculation puts the energy at -2.80 eV per atom.


# 6
Li2BeCu3: relaxed, PBE.

abc: 6.8913 6.8913 4.8865
angles: 90.05 90.05 39.20
Last column: nearest neighbours and their distance in Å.
Atoms (fractional coordinates):
Li (0.1707, 0.1954, 0.2478)  2 Li 2.45, 6 Cu 2.53-2.74, 1 Be 2.74
Li (0.1954, 0.1707, 0.7478)  2 Li 2.45, 6 Cu 2.53-2.74, 1 Be 2.74
Li (0.8046, 0.8293, 0.2522)  2 Li 2.45, 6 Cu 2.53-2.74, 1 Be 2.74
Li (0.8293, 0.8046, 0.7522)  2 Li 2.45, 6 Cu 2.53-2.74, 1 Be 2.74
Be (0.3057, 0.6943, 0.7500)  6 Cu 2.22-2.40
Be (0.6943, 0.3057, 0.2500)  6 Cu 2.22-2.40
Cu (0.1755, 0.8245, 0.2500)  2 Be 2.22-2.40
Cu (0.3669, 0.3665, 0.9999)  2 Be 2.30, 2 Cu 2.44
Cu (0.3665, 0.3669, 0.4999)  2 Be 2.30, 2 Cu 2.44
Cu (0.6331, 0.6335, 0.0001)  2 Be 2.30, 2 Cu 2.44
Cu (0.6335, 0.6331, 0.5001)  2 Be 2.30, 2 Cu 2.44
Cu (0.8245, 0.1755, 0.7500)  2 Be 2.22-2.40

The calculation puts the energy at -3.31 eV per atom.


# 7
Li2BeCu: relaxed, PBE.

abc: 4.9719 4.9719 4.9719
angles: 148.39 128.01 62.13
Last column: nearest neighbours and their distance in Å.
Atoms (fractional coordinates):
Li (0.0000, 0.0000, 0.0000)  2 Be 2.55, 4 Cu 2.59, 4 Li 2.71-2.75
Li (0.7188, 0.2188, 0.5000)  4 Be 2.58, 2 Cu 2.61, 6 Li 2.71-2.87
Be (0.2535, 0.7535, 0.5000)  2 Cu 2.20
Cu (0.4573, 0.4573, 0.0000)  2 Be 2.20

The calculation puts the energy at -2.80 eV per atom.


# 8
Li3Nd2BeCu12: relaxed, PBE.

abc: 9.4563 9.4563 9.4563
angles: 37.61 37.61 37.61
Last column: nearest neighbours and their distance in Å.
Atoms (fractional coordinates):
Li (0.0000, 0.5000, 0.5000)  6 Cu 2.37-2.63
Li (0.5000, 0.0000, 0.5000)  6 Cu 2.37-2.63
Li (0.5000, 0.5000, 0.0000)  6 Cu 2.37-2.63
Nd (0.1504, 0.1504, 0.1504)  12 Cu 2.99-3.35
Nd (0.8496, 0.8496, 0.8496)  12 Cu 2.99-3.35
Be (0.5000, 0.5000, 0.5000)  6 Cu 2.29
Cu (0.0818, 0.0818, 0.6867)  2 Li 2.37, 4 Cu 2.41-2.47
Cu (0.0818, 0.6867, 0.0818)  2 Li 2.37, 4 Cu 2.41-2.47
Cu (0.1566, 0.5708, 0.5708)  1 Be 2.29, 4 Cu 2.47-2.53
Cu (0.3133, 0.9182, 0.9182)  2 Li 2.37, 4 Cu 2.41-2.47
Cu (0.4292, 0.4292, 0.8434)  1 Be 2.29, 4 Cu 2.47-2.53
Cu (0.4292, 0.8434, 0.4292)  1 Be 2.29, 4 Cu 2.47-2.53
Cu (0.5708, 0.1566, 0.5708)  1 Be 2.29, 4 Cu 2.47-2.53
Cu (0.5708, 0.5708, 0.1566)  1 Be 2.29, 4 Cu 2.47-2.53
Cu (0.6867, 0.0818, 0.0818)  2 Li 2.37, 4 Cu 2.41-2.47
Cu (0.8434, 0.4292, 0.4292)  1 Be 2.29, 4 Cu 2.47-2.53
Cu (0.9182, 0.3133, 0.9182)  2 Li 2.37, 4 Cu 2.41-2.47
Cu (0.9182, 0.9182, 0.3133)  2 Li 2.37, 4 Cu 2.41-2.47

The calculation puts the energy at -3.65 eV per atom.


# 9
LiPr2Be3Cu12: relaxed, PBE.

abc: 6.8638 6.8638 6.8638
angles: 72.34 72.34 72.34
Last column: nearest neighbours and their distance in Å.
Atoms (fractional coordinates):
Li (0.0000, 0.0000, 0.0000)  6 Cu 2.27
Pr (0.3806, 0.3806, 0.3806)  6 Cu 2.74-3.03
Pr (0.6194, 0.6194, 0.6194)  6 Cu 2.74-3.03
Be (0.0000, 0.0000, 0.5000)  6 Cu 2.04-2.22
Be (0.0000, 0.5000, 0.0000)  6 Cu 2.04-2.22
Be (0.5000, 0.0000, 0.0000)  6 Cu 2.04-2.22
Cu (0.1261, 0.1261, 0.6526)  1 Be 2.04, 1 Li 2.27
Cu (0.1261, 0.6526, 0.1261)  1 Be 2.04, 1 Li 2.27
Cu (0.1437, 0.7088, 0.7088)  2 Be 2.22
Cu (0.2912, 0.2912, 0.8563)  2 Be 2.22
Cu (0.2912, 0.8563, 0.2912)  2 Be 2.22
Cu (0.3474, 0.8739, 0.8739)  1 Be 2.04, 1 Li 2.27
Cu (0.6526, 0.1261, 0.1261)  1 Be 2.04, 1 Li 2.27
Cu (0.7088, 0.1437, 0.7088)  2 Be 2.22
Cu (0.7088, 0.7088, 0.1437)  2 Be 2.22
Cu (0.8563, 0.2912, 0.2912)  2 Be 2.22
Cu (0.8739, 0.3474, 0.8739)  1 Be 2.04, 1 Li 2.27
Cu (0.8739, 0.8739, 0.3474)  1 Be 2.04, 1 Li 2.27

The calculation puts the energy at -3.71 eV per atom.


# 10
Li3Pr2BeCu12: relaxed, PBE.

abc: 9.4450 9.4450 9.4450
angles: 37.81 37.81 37.81
Last column: nearest neighbours and their distance in Å.
Atoms (fractional coordinates):
Li (0.0000, 0.5000, 0.5000)  6 Cu 2.37-2.61
Li (0.5000, 0.0000, 0.5000)  6 Cu 2.37-2.61
Li (0.5000, 0.5000, 0.0000)  6 Cu 2.37-2.61
Pr (0.1512, 0.1512, 0.1512)  6 Cu 3.01-3.02
Pr (0.8488, 0.8488, 0.8488)  6 Cu 3.01-3.02
Be (0.5000, 0.5000, 0.5000)  6 Cu 2.30
Cu (0.0817, 0.0817, 0.6873)  2 Li 2.37, 4 Cu 2.41-2.47
Cu (0.0817, 0.6873, 0.0817)  2 Li 2.37, 4 Cu 2.41-2.47
Cu (0.1581, 0.5691, 0.5691)  1 Be 2.30, 4 Cu 2.47-2.52
Cu (0.3127, 0.9183, 0.9183)  2 Li 2.37, 4 Cu 2.41-2.47
Cu (0.4309, 0.4309, 0.8419)  1 Be 2.30, 4 Cu 2.47-2.52
Cu (0.4309, 0.8419, 0.4309)  1 Be 2.30, 4 Cu 2.47-2.52
Cu (0.5691, 0.1581, 0.5691)  1 Be 2.30, 4 Cu 2.47-2.52
Cu (0.5691, 0.5691, 0.1581)  1 Be 2.30, 4 Cu 2.47-2.52
Cu (0.6873, 0.0817, 0.0817)  2 Li 2.37, 4 Cu 2.41-2.47
Cu (0.8419, 0.4309, 0.4309)  1 Be 2.30, 4 Cu 2.47-2.52
Cu (0.9183, 0.3127, 0.9183)  2 Li 2.37, 4 Cu 2.41-2.47
Cu (0.9183, 0.9183, 0.3127)  2 Li 2.37, 4 Cu 2.41-2.47

The calculation puts the energy at -3.65 eV per atom.


# 11
LiBeCuPt: relaxed, PBE.

abc: 4.0102 4.0102 4.0102
angles: 60.00 60.00 60.00
Last column: nearest neighbours and their distance in Å.
Atoms (fractional coordinates):
Li (0.0000, 0.0000, 0.0000)  4 Cu 2.46, 4 Pt 2.46
Be (0.5000, 0.5000, 0.5000)  4 Cu 2.46, 4 Pt 2.46
Cu (0.7500, 0.7500, 0.7500)  4 Li 2.46, 4 Be 2.46
Pt (0.2500, 0.2500, 0.2500)  4 Li 2.46, 4 Be 2.46

The calculation puts the energy at -4.35 eV per atom.


# 12
LiBeCu2Re: relaxed, PBE.

abc: 3.8169 3.8169 4.3497
angles: 90.00 90.00 90.00
Last column: nearest neighbours and their distance in Å.
Atoms (fractional coordinates):
Li (0.0000, 0.0000, 0.0000)  4 Cu 1.91
Be (0.5000, 0.5000, 0.5000)  4 Re 2.70, 8 Cu 2.89
Cu (0.0000, 0.5000, 0.0000)  2 Li 1.91
Cu (0.5000, 0.0000, 0.0000)  2 Li 1.91
Re (0.0000, 0.0000, 0.5000)  2 Li 2.17

The calculation puts the energy at -4.12 eV per atom.